1) # BeTc3Sb, relaxed, DFT PBE
data_BeTc3Sb
_space_group_name_H-M_alt 'P 1'
_space_group_IT_number 1
_space_group_name_Hall 'P 1'
_cell_length_a 4.830
_cell_length_b 4.830
_cell_length_c 4.830
_cell_angle_alpha 90.00
_cell_angle_beta 90.00
_cell_angle_gamma 90.00
loop_
_atom_site_label
_atom_site_type_symbol
_atom_site_fract_x
_atom_site_fract_y
_atom_site_fract_z
Sb1 Sb 0.000 0.000 0.000
Tc1 Tc 0.000 0.500 0.000
Tc2 Tc 0.000 0.000 0.500
Tc3 Tc 0.500 0.000 0.000
Be1 Be 0.500 0.500 0.500
# - Symmetry: No. 221
# - Calculated density: 6.26 Mg/m³

2) # BeTc3Sb, relaxed, DFT PBE
data_BeTc3Sb
_space_group_name_H-M_alt 'P 1'
_space_group_IT_number 1
_space_group_name_Hall 'P 1'
_cell_length_a 4.241
_cell_length_b 4.241
_cell_length_c 4.241
_cell_angle_alpha 90.00
_cell_angle_beta 90.00
_cell_angle_gamma 90.00
loop_
_atom_site_label
_atom_site_type_symbol
_atom_site_fract_x
_atom_site_fract_y
_atom_site_fract_z
Sb1 Sb 0.500 0.500 0.500
Tc1 Tc 0.000 0.500 0.000
Tc2 Tc 0.000 0.000 0.500
Tc3 Tc 0.500 0.000 0.000
Be1 Be 0.000 0.000 0.000
# - Symmetry: No. 221
# - Calculated density: 9.25 Mg/m³

Most stable = 2)

1) # Be3TcSb, relaxed, DFT PBE
data_Be3TcSb
_space_group_name_H-M_alt 'P 1'
_space_group_IT_number 1
_space_group_name_Hall 'P 1'
_cell_length_a 4.286
_cell_length_b 4.286
_cell_length_c 4.286
_cell_angle_alpha 90.00
_cell_angle_beta 90.00
_cell_angle_gamma 90.00
loop_
_atom_site_label
_atom_site_type_symbol
_atom_site_fract_x
_atom_site_fract_y
_atom_site_fract_z
Sb1 Sb 0.500 0.500 0.500
Tc1 Tc 0.000 0.000 0.000
Be1 Be 0.000 0.500 0.000
Be2 Be 0.000 0.000 0.500
Be3 Be 0.500 0.000 0.000
# - Symmetry: No. 221
# - Calculated density: 5.20 Mg/m³

2) # Be3TcSb, relaxed, DFT PBE
data_Be3TcSb
_space_group_name_H-M_alt 'P 1'
_space_group_IT_number 1
_space_group_name_Hall 'P 1'
_cell_length_a 4.498
_cell_length_b 4.498
_cell_length_c 4.498
_cell_angle_alpha 90.00
_cell_angle_beta 90.00
_cell_angle_gamma 90.00
loop_
_atom_site_label
_atom_site_type_symbol
_atom_site_fract_x
_atom_site_fract_y
_atom_site_fract_z
Sb1 Sb 0.000 0.000 0.000
Tc1 Tc 0.500 0.500 0.500
Be1 Be 0.000 0.500 0.000
Be2 Be 0.000 0.000 0.500
Be3 Be 0.500 0.000 0.000
# - Symmetry: No. 221
# - Calculated density: 4.50 Mg/m³

Most stable = 1)

1) # BeTcSbTe2, relaxed, DFT PBE
data_BeTcSbTe2
_space_group_name_H-M_alt 'P 1'
_space_group_IT_number 1
_space_group_name_Hall 'P 1'
_cell_length_a 4.999
_cell_length_b 4.999
_cell_length_c 4.717
_cell_angle_alpha 90.00
_cell_angle_beta 90.00
_cell_angle_gamma 90.00
loop_
_atom_site_label
_atom_site_type_symbol
_atom_site_fract_x
_atom_site_fract_y
_atom_site_fract_z
Sb1 Sb 0.000 0.000 0.500
Te1 Te 0.000 0.500 0.000
Te2 Te 0.500 0.000 0.000
Tc1 Tc 0.500 0.500 0.500
Be1 Be 0.000 0.000 0.000
# - Symmetry: No. 123
# - Calculated density: 6.82 Mg/m³

2) # BeTcSbTe2, relaxed, DFT PBE
data_BeTcSbTe2
_space_group_name_H-M_alt 'P 1'
_space_group_IT_number 1
_space_group_name_Hall 'P 1'
_cell_length_a 5.253
_cell_length_b 5.253
_cell_length_c 5.126
_cell_angle_alpha 90.00
_cell_angle_beta 90.00
_cell_angle_gamma 90.00
loop_
_atom_site_label
_atom_site_type_symbol
_atom_site_fract_x
_atom_site_fract_y
_atom_site_fract_z
Sb1 Sb 0.000 0.000 0.500
Te1 Te 0.000 0.500 0.000
Te2 Te 0.500 0.000 0.000
Tc1 Tc 0.000 0.000 0.000
Be1 Be 0.500 0.500 0.500
# - Symmetry: No. 123
# - Calculated density: 5.68 Mg/m³

Most stable = 2)

1) # TiBeSbTe2, relaxed, DFT PBE
data_TiBeSbTe2
_space_group_name_H-M_alt 'P 1'
_space_group_IT_number 1
_space_group_name_Hall 'P 1'
_cell_length_a 5.087
_cell_length_b 5.087
_cell_length_c 4.664
_cell_angle_alpha 90.00
_cell_angle_beta 90.00
_cell_angle_gamma 90.00
loop_
_atom_site_label
_atom_site_type_symbol
_atom_site_fract_x
_atom_site_fract_y
_atom_site_fract_z
Sb1 Sb 0.000 0.000 0.500
Te1 Te 0.000 0.500 0.000
Te2 Te 0.500 0.000 0.000
Be1 Be 0.000 0.000 0.000
Ti1 Ti 0.500 0.500 0.500
# - Symmetry: No. 123
# - Calculated density: 5.97 Mg/m³

2) # TiBeSbTe2, relaxed, DFT PBE
data_TiBeSbTe2
_space_group_name_H-M_alt 'P 1'
_space_group_IT_number 1
_space_group_name_Hall 'P 1'
_cell_length_a 5.279
_cell_length_b 5.279
_cell_length_c 5.323
_cell_angle_alpha 90.00
_cell_angle_beta 90.00
_cell_angle_gamma 90.00
loop_
_atom_site_label
_atom_site_type_symbol
_atom_site_fract_x
_atom_site_fract_y
_atom_site_fract_z
Sb1 Sb 0.000 0.000 0.500
Te1 Te 0.000 0.500 0.000
Te2 Te 0.500 0.000 0.000
Be1 Be 0.500 0.500 0.500
Ti1 Ti 0.000 0.000 0.000
# - Symmetry: No. 123
# - Calculated density: 4.86 Mg/m³

Most stable = 2)

1) # BeTlSbTe2, relaxed, DFT PBE
data_BeTlSbTe2
_space_group_name_H-M_alt 'P 1'
_space_group_IT_number 1
_space_group_name_Hall 'P 1'
_cell_length_a 5.805
_cell_length_b 5.805
_cell_length_c 5.713
_cell_angle_alpha 90.00
_cell_angle_beta 90.00
_cell_angle_gamma 90.00
loop_
_atom_site_label
_atom_site_type_symbol
_atom_site_fract_x
_atom_site_fract_y
_atom_site_fract_z
Sb1 Sb 0.000 0.000 0.500
Tl1 Tl 0.000 0.000 0.000
Te1 Te 0.000 0.500 0.000
Te2 Te 0.500 0.000 0.000
Be1 Be 0.500 0.500 0.500
# - Symmetry: No. 123
# - Calculated density: 5.09 Mg/m³

2) # BeTlSbTe2, relaxed, DFT PBE
data_BeTlSbTe2
_space_group_name_H-M_alt 'P 1'
_space_group_IT_number 1
_space_group_name_Hall 'P 1'
_cell_length_a 5.392
_cell_length_b 5.392
_cell_length_c 4.762
_cell_angle_alpha 90.00
_cell_angle_beta 90.00
_cell_angle_gamma 90.00
loop_
_atom_site_label
_atom_site_type_symbol
_atom_site_fract_x
_atom_site_fract_y
_atom_site_fract_z
Sb1 Sb 0.000 0.000 0.500
Tl1 Tl 0.500 0.500 0.500
Te1 Te 0.000 0.500 0.000
Te2 Te 0.500 0.000 0.000
Be1 Be 0.000 0.000 0.000
# - Symmetry: No. 123
# - Calculated density: 7.08 Mg/m³

Most stable = 2)

1) # BeVSb2Te, relaxed, DFT PBE
data_BeVSb2Te
_space_group_name_H-M_alt 'P 1'
_space_group_IT_number 1
_space_group_name_Hall 'P 1'
_cell_length_a 5.128
_cell_length_b 5.128
_cell_length_c 5.120
_cell_angle_alpha 90.00
_cell_angle_beta 90.00
_cell_angle_gamma 90.00
loop_
_atom_site_label
_atom_site_type_symbol
_atom_site_fract_x
_atom_site_fract_y
_atom_site_fract_z
Sb1 Sb 0.000 0.500 0.000
Sb2 Sb 0.500 0.000 0.000
Te1 Te 0.000 0.000 0.500
Be1 Be 0.500 0.500 0.500
V1 V 0.000 0.000 0.000
# - Symmetry: No. 123
# - Calculated density: 5.32 Mg/m³

2) # BeVSb2Te, relaxed, DFT PBE
data_BeVSb2Te
_space_group_name_H-M_alt 'P 1'
_space_group_IT_number 1
_space_group_name_Hall 'P 1'
_cell_length_a 4.758
_cell_length_b 4.758
_cell_length_c 5.188
_cell_angle_alpha 90.00
_cell_angle_beta 90.00
_cell_angle_gamma 90.00
loop_
_atom_site_label
_atom_site_type_symbol
_atom_site_fract_x
_atom_site_fract_y
_atom_site_fract_z
Sb1 Sb 0.000 0.500 0.000
Sb2 Sb 0.500 0.000 0.000
Te1 Te 0.000 0.000 0.500
Be1 Be 0.000 0.000 0.000
V1 V 0.500 0.500 0.500
# - Symmetry: No. 123
# - Calculated density: 6.09 Mg/m³

Most stable = 1)

1) # YBeSbTe2, relaxed, DFT PBE
data_YBeSbTe2
_space_group_name_H-M_alt 'P 1'
_space_group_IT_number 1
_space_group_name_Hall 'P 1'
_cell_length_a 5.257
_cell_length_b 4.714
_cell_length_c 5.257
_cell_angle_alpha 90.00
_cell_angle_beta 90.00
_cell_angle_gamma 90.00
loop_
_atom_site_label
_atom_site_type_symbol
_atom_site_fract_x
_atom_site_fract_y
_atom_site_fract_z
Y1 Y 0.500 0.500 0.500
Sb1 Sb 0.000 0.500 0.000
Te1 Te 0.000 0.000 0.500
Te2 Te 0.500 0.000 0.000
Be1 Be 0.000 0.000 0.000
# - Symmetry: No. 123
# - Calculated density: 6.05 Mg/m³

2) # YBeSbTe2, relaxed, DFT PBE
data_YBeSbTe2
_space_group_name_H-M_alt 'P 1'
_space_group_IT_number 1
_space_group_name_Hall 'P 1'
_cell_length_a 5.803
_cell_length_b 5.803
_cell_length_c 5.900
_cell_angle_alpha 90.00
_cell_angle_beta 90.00
_cell_angle_gamma 90.00
loop_
_atom_site_label
_atom_site_type_symbol
_atom_site_fract_x
_atom_site_fract_y
_atom_site_fract_z
Y1 Y 0.000 0.000 0.000
Sb1 Sb 0.000 0.000 0.500
Te1 Te 0.000 0.500 0.000
Te2 Te 0.500 0.000 0.000
Be1 Be 0.500 0.500 0.500
# - Symmetry: No. 123
# - Calculated density: 3.97 Mg/m³

Most stable = 1)

1) # YBeSb2Te, relaxed, DFT PBE
data_YBeSb2Te
_space_group_name_H-M_alt 'P 1'
_space_group_IT_number 1
_space_group_name_Hall 'P 1'
_cell_length_a 5.822
_cell_length_b 5.822
_cell_length_c 5.762
_cell_angle_alpha 90.00
_cell_angle_beta 90.00
_cell_angle_gamma 90.00
loop_
_atom_site_label
_atom_site_type_symbol
_atom_site_fract_x
_atom_site_fract_y
_atom_site_fract_z
Y1 Y 0.000 0.000 0.000
Sb1 Sb 0.000 0.500 0.000
Sb2 Sb 0.500 0.000 0.000
Te1 Te 0.000 0.000 0.500
Be1 Be 0.500 0.500 0.500
# - Symmetry: No. 123
# - Calculated density: 3.99 Mg/m³

2) # YBeSb2Te, relaxed, DFT PBE
data_YBeSb2Te
_space_group_name_H-M_alt 'P 1'
_space_group_IT_number 1
_space_group_name_Hall 'P 1'
_cell_length_a 4.947
_cell_length_b 4.947
_cell_length_c 5.222
_cell_angle_alpha 90.00
_cell_angle_beta 90.00
_cell_angle_gamma 90.00
loop_
_atom_site_label
_atom_site_type_symbol
_atom_site_fract_x
_atom_site_fract_y
_atom_site_fract_z
Y1 Y 0.500 0.500 0.500
Sb1 Sb 0.000 0.500 0.000
Sb2 Sb 0.500 0.000 0.000
Te1 Te 0.000 0.000 0.500
Be1 Be 0.000 0.000 0.000
# - Symmetry: No. 123
# - Calculated density: 6.09 Mg/m³

Most stable = 2)

1) # BeZnSb2Te, relaxed, DFT PBE
data_BeZnSb2Te
_space_group_name_H-M_alt 'P 1'
_space_group_IT_number 1
_space_group_name_Hall 'P 1'
_cell_length_a 5.800
_cell_length_b 5.052
_cell_length_c 5.800
_cell_angle_alpha 90.00
_cell_angle_beta 90.00
_cell_angle_gamma 90.00
loop_
_atom_site_label
_atom_site_type_symbol
_atom_site_fract_x
_atom_site_fract_y
_atom_site_fract_z
Sb1 Sb 0.000 0.000 0.500
Sb2 Sb 0.500 0.000 0.000
Zn1 Zn 0.000 0.500 0.000
Te1 Te 0.000 0.000 0.000
Be1 Be 0.500 0.500 0.500
# - Symmetry: No. 123
# - Calculated density: 4.35 Mg/m³

2) # BeZnSb2Te, relaxed, DFT PBE
data_BeZnSb2Te
_space_group_name_H-M_alt 'P 1'
_space_group_IT_number 1
_space_group_name_Hall 'P 1'
_cell_length_a 4.850
_cell_length_b 4.850
_cell_length_c 5.269
_cell_angle_alpha 90.00
_cell_angle_beta 90.00
_cell_angle_gamma 90.00
loop_
_atom_site_label
_atom_site_type_symbol
_atom_site_fract_x
_atom_site_fract_y
_atom_site_fract_z
Sb1 Sb 0.000 0.500 0.000
Sb2 Sb 0.500 0.000 0.000
Zn1 Zn 0.500 0.500 0.500
Te1 Te 0.000 0.000 0.500
Be1 Be 0.000 0.000 0.000
# - Symmetry: No. 123
# - Calculated density: 5.97 Mg/m³

3) # BeZnSb2Te, relaxed, DFT PBE
data_BeZnSb2Te
_space_group_name_H-M_alt 'P 1'
_space_group_IT_number 1
_space_group_name_Hall 'P 1'
_cell_length_a 5.142
_cell_length_b 5.142
_cell_length_c 5.413
_cell_angle_alpha 90.00
_cell_angle_beta 90.00
_cell_angle_gamma 90.00
loop_
_atom_site_label
_atom_site_type_symbol
_atom_site_fract_x
_atom_site_fract_y
_atom_site_fract_z
Sb1 Sb 0.000 0.500 0.000
Sb2 Sb 0.500 0.000 0.000
Zn1 Zn 0.000 0.000 0.000
Te1 Te 0.000 0.000 0.500
Be1 Be 0.500 0.500 0.500
# - Symmetry: No. 123
# - Calculated density: 5.17 Mg/m³

Most stable = 2)

1) # ZrBeSb2Te, relaxed, DFT PBE
data_ZrBeSb2Te
_space_group_name_H-M_alt 'P 1'
_space_group_IT_number 1
_space_group_name_Hall 'P 1'
_cell_length_a 5.575
_cell_length_b 5.575
_cell_length_c 5.525
_cell_angle_alpha 90.00
_cell_angle_beta 90.00
_cell_angle_gamma 90.00
loop_
_atom_site_label
_atom_site_type_symbol
_atom_site_fract_x
_atom_site_fract_y
_atom_site_fract_z
Sb1 Sb 0.000 0.500 0.000
Sb2 Sb 0.500 0.000 0.000
Te1 Te 0.000 0.000 0.500
Zr1 Zr 0.000 0.000 0.000
Be1 Be 0.500 0.500 0.500
# - Symmetry: No. 123
# - Calculated density: 4.56 Mg/m³

2) # ZrBeSb2Te, relaxed, DFT PBE
data_ZrBeSb2Te
_space_group_name_H-M_alt 'P 1'
_space_group_IT_number 1
_space_group_name_Hall 'P 1'
_cell_length_a 4.832
_cell_length_b 4.832
_cell_length_c 5.154
_cell_angle_alpha 90.00
_cell_angle_beta 90.00
_cell_angle_gamma 90.00
loop_
_atom_site_label
_atom_site_type_symbol
_atom_site_fract_x
_atom_site_fract_y
_atom_site_fract_z
Sb1 Sb 0.000 0.500 0.000
Sb2 Sb 0.500 0.000 0.000
Te1 Te 0.000 0.000 0.500
Zr1 Zr 0.500 0.500 0.500
Be1 Be 0.000 0.000 0.000
# - Symmetry: No. 123
# - Calculated density: 6.50 Mg/m³

Most stable = 2)

1) # TiBeSb3, relaxed, DFT PBE
data_TiBeSb3
_space_group_name_H-M_alt 'P 1'
_space_group_IT_number 1
_space_group_name_Hall 'P 1'
_cell_length_a 5.225
_cell_length_b 5.225
_cell_length_c 5.225
_cell_angle_alpha 90.00
_cell_angle_beta 90.00
_cell_angle_gamma 90.00
loop_
_atom_site_label
_atom_site_type_symbol
_atom_site_fract_x
_atom_site_fract_y
_atom_site_fract_z
Sb1 Sb 0.000 0.500 0.000
Sb2 Sb 0.000 0.000 0.500
Sb3 Sb 0.500 0.000 0.000
Be1 Be 0.500 0.500 0.500
Ti1 Ti 0.000 0.000 0.000
# - Symmetry: No. 221
# - Calculated density: 4.91 Mg/m³

2) # TiBeSb3, relaxed, DFT PBE
data_TiBeSb3
_space_group_name_H-M_alt 'P 1'
_space_group_IT_number 1
_space_group_name_Hall 'P 1'
_cell_length_a 4.886
_cell_length_b 4.886
_cell_length_c 4.886
_cell_angle_alpha 90.00
_cell_angle_beta 90.00
_cell_angle_gamma 90.00
loop_
_atom_site_label
_atom_site_type_symbol
_atom_site_fract_x
_atom_site_fract_y
_atom_site_fract_z
Sb1 Sb 0.000 0.500 0.000
Sb2 Sb 0.000 0.000 0.500
Sb3 Sb 0.500 0.000 0.000
Be1 Be 0.000 0.000 0.000
Ti1 Ti 0.500 0.500 0.500
# - Symmetry: No. 221
# - Calculated density: 6.01 Mg/m³

Most stable = 2)

1) # Ti3BeSb, relaxed, DFT PBE
data_Ti3BeSb
_space_group_name_H-M_alt 'P 1'
_space_group_IT_number 1
_space_group_name_Hall 'P 1'
_cell_length_a 4.973
_cell_length_b 4.973
_cell_length_c 4.973
_cell_angle_alpha 90.00
_cell_angle_beta 90.00
_cell_angle_gamma 90.00
loop_
_atom_site_label
_atom_site_type_symbol
_atom_site_fract_x
_atom_site_fract_y
_atom_site_fract_z
Sb1 Sb 0.000 0.000 0.000
Be1 Be 0.500 0.500 0.500
Ti1 Ti 0.000 0.500 0.000
Ti2 Ti 0.000 0.000 0.500
Ti3 Ti 0.500 0.000 0.000
# - Symmetry: No. 221
# - Calculated density: 3.71 Mg/m³

2) # Ti3BeSb, relaxed, DFT PBE
data_Ti3BeSb
_space_group_name_H-M_alt 'P 1'
_space_group_IT_number 1
_space_group_name_Hall 'P 1'
_cell_length_a 4.400
_cell_length_b 4.400
_cell_length_c 4.400
_cell_angle_alpha 90.00
_cell_angle_beta 90.00
_cell_angle_gamma 90.00
loop_
_atom_site_label
_atom_site_type_symbol
_atom_site_fract_x
_atom_site_fract_y
_atom_site_fract_z
Sb1 Sb 0.500 0.500 0.500
Be1 Be 0.000 0.000 0.000
Ti1 Ti 0.000 0.500 0.000
Ti2 Ti 0.000 0.000 0.500
Ti3 Ti 0.500 0.000 0.000
# - Symmetry: No. 221
# - Calculated density: 5.35 Mg/m³

Most stable = 2)